No. 1
Material: BaTaBi3
Method: DFT, PBE-GGA
State: optimized geometry

Lattice parameters (Å, degrees): 6.0940 6.0940 6.0940 90.00 90.00 90.00
Space group Pm-3m (No. 221)
Asymmetric unit:
Ba1 0.0000 0.0000 0.0000 [1 per cell]
Ta1 0.5000 0.5000 0.5000 [1 per cell]
Bi1 0.0000 0.0000 0.5000 [3 per cell]

V: 226.3 Å³/f.u.
ΔE_f: 2000 meV per atom
Density: 6.9 g/cm³



No. 2
Material: Ba2TaBi
Method: DFT, PBE-GGA
State: optimized geometry

Lattice parameters (Å, degrees): 9.4683 9.4683 6.4671 90.00 90.00 90.00
Space group I-42d (No. 122)
Asymmetric unit:
Ba1 0.2244 0.7500 0.1250 [8 per cell]
Ta1 0.0000 0.0000 0.0000 [4 per cell]
Bi1 0.0000 0.0000 0.5000 [4 per cell]

V: 144.9 Å³/f.u.
ΔE_f: 763 meV per atom
Density: 7.6 g/cm³



No. 3
Material: BaTaTc2Bi
Method: DFT, PBE-GGA
State: optimized geometry

Lattice parameters (Å, degrees): 4.9405 4.9405 5.6403 90.00 90.00 90.00
Space group P4/mmm (No. 123)
Asymmetric unit:
Ba1 0.0000 0.0000 0.0000 [1 per cell]
Ta1 0.5000 0.5000 0.5000 [1 per cell]
Tc1 0.0000 0.5000 0.5000 [2 per cell]
Bi1 0.5000 0.5000 0.0000 [1 per cell]

V: 137.7 Å³/f.u.
ΔE_f: 963 meV per atom
Density: 8.7 g/cm³



No. 4
Material: BaTaBi2Te
Method: DFT, PBE-GGA
State: optimized geometry

Lattice parameters (Å, degrees): 5.4015 5.4015 6.5057 90.00 90.00 90.00
Space group P4/mmm (No. 123)
Asymmetric unit:
Ba1 0.0000 0.0000 0.0000 [1 per cell]
Ta1 0.0000 0.0000 0.5000 [1 per cell]
Bi1 0.0000 0.5000 0.5000 [2 per cell]
Te1 0.5000 0.5000 0.0000 [1 per cell]

V: 189.8 Å³/f.u.
Density: 7.6 g/cm³



No. 5
Material: Ba2TaTiBi
Method: DFT, PBE-GGA
State: optimized geometry

Lattice parameters (Å, degrees): 6.6526 6.6526 5.3600 90.00 90.00 90.00
Space group P4/mmm (No. 123)
Asymmetric unit:
Ba1 0.0000 0.5000 0.0000 [2 per cell]
Ta1 0.0000 0.0000 0.5000 [1 per cell]
Ti1 0.5000 0.5000 0.5000 [1 per cell]
Bi1 0.0000 0.0000 0.0000 [1 per cell]

V: 237.2 Å³/f.u.
ΔE_f: 1162 meV per atom
Density: 5.0 g/cm³



No. 6
Material: BaTaTlBi2
Method: DFT, PBE-GGA
State: optimized geometry

Lattice parameters (Å, degrees): 5.6017 5.6017 5.5567 90.00 90.00 90.00
Space group P4/mmm (No. 123)
Asymmetric unit:
Ba1 0.0000 0.0000 0.0000 [1 per cell]
Ta1 0.5000 0.5000 0.5000 [1 per cell]
Tl1 0.5000 0.5000 0.0000 [1 per cell]
Bi1 0.0000 0.5000 0.5000 [2 per cell]

V: 174.4 Å³/f.u.
ΔE_f: -11 meV per atom
Density: 9.0 g/cm³



No. 7
Material: BaTaV2Bi
Method: DFT, PBE-GGA
State: optimized geometry

Lattice parameters (Å, degrees): 5.0158 5.0158 6.0976 90.00 90.00 90.00
Space group P4/mmm (No. 123)
Asymmetric unit:
Ba1 0.0000 0.0000 0.0000 [1 per cell]
Ta1 0.5000 0.5000 0.0000 [1 per cell]
V1 0.0000 0.5000 0.5000 [2 per cell]
Bi1 0.0000 0.0000 0.5000 [1 per cell]

V: 153.4 Å³/f.u.
ΔE_f: 2156 meV per atom
Density: 6.8 g/cm³



No. 8
Material: BaTbBi2
Method: DFT, PBE-GGA
State: optimized geometry

Lattice parameters (Å, degrees): 3.9653 3.9653 8.7706 90.00 90.00 90.00
Space group P4/mmm (No. 123)
Asymmetric unit:
Ba1 0.0000 0.0000 0.0000 [1 per cell]
Tb1 0.0000 0.0000 0.5000 [1 per cell]
Bi1 0.5000 0.5000 0.2828 [2 per cell]

V: 137.9 Å³/f.u.
ΔE_f: -708 meV per atom
Density: 8.6 g/cm³



Number 1: D(E_F) 15.72 states/eV/f.u., total DFT energy (no corrections) -15.4 eV per cell. Number 2: D(E_F) 4.89 states/eV/f.u., total DFT energy (no corrections) -66.1 eV per cell. Number 3: D(E_F) 6.74 states/eV/f.u., total DFT energy (no corrections) -33.6 eV per cell. Number 4: D(E_F) 4.14 states/eV/f.u., total DFT energy (no corrections) -23.7 eV per cell. Number 5: D(E_F) 5.19 states/eV/f.u., total DFT energy (no corrections) -21.7 eV per cell. Number 6: D(E_F) 2.59 states/eV/f.u., total DFT energy (no corrections) -24.0 eV per cell. Number 7: D(E_F) 13.62 states/eV/f.u., total DFT energy (no corrections) -25.1 eV per cell. Number 8: D(E_F) 2.54 states/eV/f.u., total DFT energy (no corrections) -17.1 eV per cell.